Below is crystalline Zr4Si3 at its relaxed geometry, with properties calculated at the PBE level.

Cell: 5.357 5.357 5.116 Å, 90.00 90.00 120.00°
Element x y z (fractional)
1 Zr 0.000 0.000 0.256
2 Zr 0.667 0.333 0.500
3 Zr 0.000 0.000 0.744
4 Zr 0.333 0.667 0.500
5 Si 0.500 0.000 0.000
6 Si 0.000 0.500 0.000
7 Si 0.500 0.500 0.000

Calculated values
Density of states at the Fermi level in states/eV per atom: 0.708
Total magnetic moment in μB per formula unit: 0.00
Formation energy (no corrections) in eV/atom: -0.48
Space-group type: P6/mmm, No. 191
Calculated total energy in Ry per atom: -0.5653